(1)
The following is a DFT calculation (GGA-PBE) of a geometry-optimized Np4PSe5 structure.

Lattice parameters (Å, degrees): 17.733 4.071 8.085 90.00 104.99 90.00
Space group C2/m (No. 12)
Symmetry-distinct sites (fractional):
Np 0.001 0.000 0.248 x4
Np 0.168 0.500 0.101 x4
P 0.000 0.500 0.000 x2
Se 0.000 0.500 0.500 x2
Se 0.165 0.000 0.338 x4
Se 0.167 0.000 0.850 x4

Output
formation energy without anion corrections: -0.984 eV/atom
total magnetization: 0.370 μB per formula unit
Fermi-level density of states: 87.19 states/eV per cell

=====

(2)
The following is a DFT calculation (GGA-PBE) of a geometry-optimized LiTlP2PbO structure.

Lattice parameters (Å, degrees): 5.940 3.312 7.289 90.00 108.92 90.00
Space group Pm (No. 6)
Symmetry-distinct sites (fractional):
Li 0.000 0.000 0.000 x1
Tl 0.944 0.500 0.394 x1
P 0.263 0.500 0.793 x1
P 0.528 0.000 0.843 x1
Pb 0.467 0.000 0.442 x1
O 0.143 0.500 0.959 x1

Output
formation energy without anion corrections: -0.663 eV/atom
total magnetization: 0.000 μB per formula unit
energy above the lowest structure with this stoichiometry: 4.3 kJ per mole of atoms
Fermi-level density of states: 0.57 states/eV per cell

=====

(3)
The following is a DFT calculation (GGA-PBE) of a geometry-optimized Zr2TeRh structure.

Lattice parameters (Å, degrees): 3.937 4.339 4.662 90.00 90.00 90.00
Space group Pmmm (No. 47)
Symmetry-distinct sites (fractional):
Zr 0.000 0.000 0.000 x1
Zr 0.500 0.000 0.500 x1
Te 0.000 0.500 0.500 x1
Rh 0.500 0.500 0.000 x1

Output
formation energy without anion corrections: -0.482 eV/atom
total magnetization: 0.000 μB per formula unit
energy above the lowest structure with this stoichiometry: 15.4 kJ per mole of atoms
Fermi-level density of states: 3.81 states/eV per cell

=====

(4)
The following is a DFT calculation (GGA-PBE) of a geometry-optimized TbPm4Ho2Sc structure.

Lattice parameters (Å, degrees): 5.065 5.065 9.925 90.00 90.00 90.00
Space group P4/mmm (No. 123)
Symmetry-distinct sites (fractional):
Tb 0.000 0.000 0.000 x1
Pm 0.000 0.500 0.255 x4
Ho 0.000 0.000 0.500 x1
Ho 0.500 0.500 0.000 x1
Sc 0.500 0.500 0.500 x1

Output
total magnetization: 0.000 μB per formula unit
E_form: 0.028 eV/atom
Fermi-level density of states: 11.02 states/eV per cell

=====

(5)
The following is a DFT calculation (GGA-PBE) of a geometry-optimized TiNb2V2 structure.

Lattice parameters (Å, degrees): 4.634 2.636 13.518 90.00 90.15 90.00
Space group P2_1/m (No. 11)
Symmetry-distinct sites (fractional):
Ti 0.248 0.250 0.247 x2
Nb 0.250 0.750 0.448 x2
Nb 0.253 0.250 0.854 x2
V 0.248 0.750 0.047 x2
V 0.251 0.250 0.656 x2

Output
total magnetization: 0.490 μB per formula unit
E_form: 0.217 eV/atom
Fermi-level density of states: 12.73 states/eV per cell

=====

(6)
The following is a DFT calculation (GGA-PBE) of a geometry-optimized Pr2TlSb structure.

Lattice parameters (Å, degrees): 4.633 25.186 4.547 90.00 90.00 90.00
Space group Cmcm (No. 63)
Symmetry-distinct sites (fractional):
Pr 0.000 0.065 0.250 x4
Pr 0.000 0.314 0.250 x4
Tl 0.000 0.456 0.250 x4
Sb 0.000 0.188 0.250 x4

Output
formation energy without anion corrections: -0.770 eV/atom
total magnetization: 0.000 μB per formula unit
energy above the lowest structure with this stoichiometry: 0.0 kJ per mole of atoms
Fermi-level density of states: 9.14 states/eV per cell